Record 1
A geometry-optimized RePt3 structure. Source: Alexandria, functional GGA-PBEsol.

Values from the calculation:
Calculated volume = 60 Å³ per cell
Crystal system = hexagonal
D(E_F) = 1.32 states/eV per atom
Total moment = 0.00 μB/cell
E_tot = -34.5 eV/cell

```
data_RePt3
_cell_length_a 2.7742
_cell_length_b 2.7742
_cell_length_c 8.9381
_cell_angle_alpha 90.00
_cell_angle_beta 90.00
_cell_angle_gamma 120.00
_symmetry_space_group_name_H-M 'P -6 m 2'
_symmetry_Int_Tables_number 187
_symmetry_space_group_name_Hall 'P -6 2'
loop_
_atom_site_label
_atom_site_fract_x
_atom_site_fract_y
_atom_site_fract_z
Re1 0.0000 0.0000 0.0000
Pt1 0.0000 0.0000 0.5000
Pt2 0.3333 0.6667 0.2393
```


Record 2
A geometry-optimized HfPdF2 structure. Source: Alexandria, functional GGA-PBEsol.

Values from the calculation:
Calculated volume = 228 Å³ per cell
Crystal system = tetragonal
D(E_F) = 0.46 states/eV per atom
Uncorrected formation energy = -1.7272 eV per atom
Total moment = 0.00 μB/cell
E_tot = -108.9 eV/cell

```
data_HfPdF2
_cell_length_a 3.9757
_cell_length_b 3.9757
_cell_length_c 14.4183
_cell_angle_alpha 90.00
_cell_angle_beta 90.00
_cell_angle_gamma 90.00
_symmetry_space_group_name_H-M 'I -4 2 d'
_symmetry_Int_Tables_number 122
_symmetry_space_group_name_Hall 'I -4 2bw'
loop_
_atom_site_label
_atom_site_fract_x
_atom_site_fract_y
_atom_site_fract_z
Hf1 0.0000 0.0000 0.0000
Pd1 0.0000 0.0000 0.5000
F1 0.1389 0.2500 0.1250
```


Record 3
A geometry-optimized Li15Ge4 structure. Source: Alexandria, functional GGA-PBEsol.

Values from the calculation:
Calculated volume = 1184 Å³ per cell
Crystal system = cubic
D(E_F) = 0.33 states/eV per atom
Total moment = 0.00 μB/cell
E_tot = -222.5 eV/cell

```
data_Li15Ge4
_cell_length_a 10.5783
_cell_length_b 10.5783
_cell_length_c 10.5783
_cell_angle_alpha 90.00
_cell_angle_beta 90.00
_cell_angle_gamma 90.00
_symmetry_space_group_name_H-M 'I -4 3 d'
_symmetry_Int_Tables_number 220
_symmetry_space_group_name_Hall 'I -4bd 2c 3'
loop_
_atom_site_label
_atom_site_fract_x
_atom_site_fract_y
_atom_site_fract_z
Li1 0.0000 0.2500 0.3750
Li2 0.0365 0.3781 0.1551
Ge1 0.0420 0.4580 0.5420
```


Record 4
A geometry-optimized Fe3TeF structure. Source: Alexandria, functional GGA-PBEsol.

Values from the calculation:
Calculated volume = 71 Å³ per cell
Crystal system = cubic
D(E_F) = 0.87 states/eV per atom
Uncorrected formation energy = 0.2447 eV per atom
Total moment = 9.15 μB/cell
E_tot = -31.1 eV/cell

```
data_Fe3TeF
_cell_length_a 4.1353
_cell_length_b 4.1353
_cell_length_c 4.1353
_cell_angle_alpha 90.00
_cell_angle_beta 90.00
_cell_angle_gamma 90.00
_symmetry_space_group_name_H-M 'P m -3 m'
_symmetry_Int_Tables_number 221
_symmetry_space_group_name_Hall '-P 4 2 3'
loop_
_atom_site_label
_atom_site_fract_x
_atom_site_fract_y
_atom_site_fract_z
Fe1 0.0000 0.0000 0.5000
Te1 0.5000 0.5000 0.5000
F1 0.0000 0.0000 0.0000
```


Record 5
A geometry-optimized AgPtW2 structure. Source: Alexandria, functional GGA-PBEsol.

Values from the calculation:
Calculated volume = 62 Å³ per cell
Crystal system = orthorhombic
D(E_F) = 0.57 states/eV per atom
Total moment = 0.00 μB/cell
E_tot = -37.1 eV/cell

```
data_AgPtW2
_cell_length_a 2.7004
_cell_length_b 4.0301
_cell_length_c 5.6990
_cell_angle_alpha 90.00
_cell_angle_beta 90.00
_cell_angle_gamma 90.00
_symmetry_space_group_name_H-M 'P m m 2'
_symmetry_Int_Tables_number 25
loop_
_symmetry_equiv_pos_as_xyz
'x,y,z'
'-x,-y,z'
'-x,y,z'
'x,-y,z'
loop_
_atom_site_label
_atom_site_fract_x
_atom_site_fract_y
_atom_site_fract_z
Ag1 0.0000 0.0000 0.0000
Pt1 0.5000 0.5000 0.2485
W1 0.0000 0.0000 0.4945
W2 0.5000 0.5000 0.7465
```


Record 6
A geometry-optimized CdNiBr2 structure. Source: Alexandria, functional GGA-PBEsol.

Values from the calculation:
Calculated volume = 275 Å³ per cell
Crystal system = trigonal
D(E_F) = 0.45 states/eV per atom
Uncorrected formation energy = -0.1982 eV per atom
Total moment = 0.01 μB/cell
E_tot = -35.7 eV/cell

```
data_CdNiBr2
_cell_length_a 3.8426
_cell_length_b 3.8426
_cell_length_c 21.5150
_cell_angle_alpha 90.00
_cell_angle_beta 90.00
_cell_angle_gamma 120.00
_symmetry_space_group_name_H-M 'R 3 m'
_symmetry_Int_Tables_number 160
_symmetry_space_group_name_Hall 'R 3 -2"'
loop_
_atom_site_label
_atom_site_fract_x
_atom_site_fract_y
_atom_site_fract_z
Cd1 0.0000 0.0000 0.0000
Ni1 0.0000 0.0000 0.7427
Br1 0.0000 0.0000 0.2563
Br2 0.0000 0.0000 0.4455
```


Look up the E_tot of the sixth one. -35.7 eV/cell